Record 1
4
Lattice="1.903 1.099 9.874 -1.903 1.099 9.874 0.000 -2.198 9.874" Properties=species:S:1:pos:R:3 comment="Tb2CdSe | Alexandria | PBE | relaxed" formation_energy_uncorrected_ev_per_fu=-2.377 polymorph_energy_mev_per_atom=424 spacegroup=R-3m pbc="T T T"
Tb 0.000 0.000 3.171
Tb 0.000 0.000 26.450
Cd 0.000 0.000 0.000
Se 0.000 0.000 14.810



Record 2
9
Lattice="7.013 -4.079 0.000 7.013 4.079 0.000 -4.754 0.000 6.709" Properties=species:S:1:pos:R:3 comment="Cs2TcI4Cl2 | Alexandria | PBE | relaxed" formation_energy_uncorrected_ev_per_fu=-8.762 spacegroup=C2/m pbc="T T T"
Cs 2.199 0.000 1.824
Cs 7.072 0.000 4.885
Tc -2.377 0.000 3.355
I 5.629 2.126 1.665
I 3.642 2.126 5.044
I 5.629 -2.126 1.665
I 3.642 -2.126 5.044
Cl -0.326 0.000 4.551
Cl 9.598 0.000 2.158



Record 3
16
Lattice="2.116 -5.240 0.000 2.116 5.240 0.000 0.000 0.000 15.409" Properties=species:S:1:pos:R:3 comment="Pm3Cu3Ir2 | Alexandria | PBE | relaxed" formation_enthalpy_0k_ev_per_atom=-0.405 spacegroup=Cmcm pbc="T T T"
Pm 2.116 4.221 11.557
Pm 2.116 1.371 9.020
Pm 2.116 1.371 14.093
Pm 2.116 -1.371 1.316
Pm 2.116 -1.371 6.389
Pm 2.116 -4.221 3.852
Cu 2.116 4.379 8.534
Cu 2.116 4.379 14.579
Cu 2.116 3.263 3.852
Cu 2.116 -3.263 11.557
Cu 2.116 -4.379 0.830
Cu 2.116 -4.379 6.874
Ir 2.116 1.788 1.805
Ir 2.116 1.788 5.900
Ir 2.116 -1.788 9.509
Ir 2.116 -1.788 13.604



Record 4
10
Lattice="2.467 -12.934 0.000 2.467 12.934 0.000 0.000 0.000 4.925" Properties=species:S:1:pos:R:3 comment="Pm3NdIn | Alexandria | PBE | relaxed" formation_enthalpy_0k_ev_per_atom=-0.189 polymorph_energy_mev_per_atom=0 spacegroup=Cmcm pbc="T T T"
Pm 2.467 11.578 3.694
Pm 2.467 6.480 3.694
Pm 2.467 1.361 3.694
Pm 2.467 -1.361 1.231
Pm 2.467 -6.480 1.231
Pm 2.467 -11.578 1.231
Nd 2.467 9.033 1.231
Nd 2.467 -9.033 3.694
In 2.467 3.968 1.231
In 2.467 -3.968 3.694



Record 5
10
Lattice="6.957 0.000 0.000 0.000 6.957 0.000 0.000 0.000 2.770" Properties=species:S:1:pos:R:3 comment="Mn2GaNi2 | Alexandria | PBE | relaxed" formation_enthalpy_0k_ev_per_atom=0.098 spacegroup=P4/mbm pbc="T T T"
Mn 1.048 2.431 0.000
Mn 2.431 5.909 0.000
Mn 4.527 1.048 0.000
Mn 5.909 4.527 0.000
Ga 0.000 0.000 0.000
Ga 3.479 3.479 0.000
Ni 0.991 4.469 1.385
Ni 2.488 0.991 1.385
Ni 4.469 5.967 1.385
Ni 5.967 2.488 1.385



Record 6
12
Lattice="4.170 0.000 0.000 0.000 5.516 0.000 0.000 0.000 9.457" Properties=species:S:1:pos:R:3 comment="Ac2Zn5Cu5 | Alexandria | PBE | relaxed" formation_enthalpy_0k_ev_per_atom=-0.232 spacegroup=Pmmm pbc="T T T"
Ac 0.000 0.000 0.000
Ac 0.000 2.758 4.728
Zn 2.085 0.000 4.728
Zn 2.085 1.397 2.323
Zn 2.085 1.397 7.134
Zn 2.085 4.119 2.323
Zn 2.085 4.119 7.134
Cu 0.000 0.000 3.148
Cu 0.000 0.000 6.309
Cu 0.000 2.758 1.525
Cu 0.000 2.758 7.932
Cu 2.085 2.758 0.000



Record 7
8
Lattice="-2.702 2.702 9.565 2.702 -2.702 9.565 2.702 2.702 -9.565" Properties=species:S:1:pos:R:3 comment="BaCBr2 | Alexandria | PBE | relaxed" formation_energy_uncorrected_ev_per_fu=1.219 polymorph_energy_mev_per_atom=96 spacegroup=I-42d pbc="T T T"
Ba 0.000 0.000 0.000
Ba 0.000 2.702 4.782
C 2.702 0.000 4.782
C 0.000 0.000 9.565
Br 1.351 -1.149 7.174
Br 1.553 1.351 2.391
Br 1.351 3.851 -2.391
Br 1.149 1.351 11.956



Record 8
5
Lattice="5.050 0.000 0.000 0.000 5.050 0.000 0.000 0.000 4.481" Properties=species:S:1:pos:R:3 comment="SrPN2O | Alexandria | PBE | relaxed" formation_energy_uncorrected_ev_per_fu=8.855 spacegroup=P4/mmm pbc="T T T"
Sr 0.000 0.000 0.000
P 2.525 2.525 2.240
N 0.000 2.525 0.000
N 2.525 0.000 0.000
O 0.000 0.000 2.240